Entry 1:
A plane-wave DFT calculation with GGA-PBE was carried out for a geometry-optimized Ac2Cu2Ge structure.

Space-group type: C2/m
Energy of formation (meV/atom): -367
Calculated volume (Å³ per cell): 260.67
Final energy (eV/cell): -45.72

abc: 4.3533 6.1586 10.6434
angles: 82.19 78.20 69.30
Last column: nearest neighbours and their distance in Å.
Fractional positions:
Cu 0.3893 0.1089 0.1124  1 Ge 2.62, 1 Cu 2.73
Cu 0.6107 0.8911 0.8876  1 Ge 2.62, 1 Cu 2.73
Cu 0.9616 0.6649 0.4120  2 Ge 2.54, 1 Cu 2.55
Cu 0.0384 0.3351 0.5880  2 Ge 2.54, 1 Cu 2.55
Ac 0.3065 0.7510 0.6361  4 Ge 3.24-3.41, 7 Cu 3.26-3.54
Ac 0.0951 0.7031 0.1067  6 Cu 3.17-3.42, 2 Ge 3.29
Ac 0.9049 0.2969 0.8933  6 Cu 3.17-3.42, 2 Ge 3.29
Ac 0.6935 0.2490 0.3639  4 Ge 3.24-3.41, 7 Cu 3.26-3.54
Ge 0.5832 0.1592 0.6744  3 Cu 2.54-2.62
Ge 0.4168 0.8408 0.3256  3 Cu 2.54-2.62

Entry 2:
A plane-wave DFT calculation with GGA-PBE was carried out for a geometry-optimized KAsP3 structure.

Space-group type: Pm-3m
Energy of formation (meV/atom): 634
Energy above the most stable polymorph in this dataset (meV per atom): 0
Calculated volume (Å³ per cell): 118.81
Final energy (eV/cell): -18.81

abc: 4.9161 4.9161 4.9161
angles: 90.00 90.00 90.00
Last column: nearest neighbours and their distance in Å.
Fractional positions:
P 0.0000 0.5000 0.0000  2 As 2.46
P 0.5000 0.0000 0.0000  2 As 2.46
P 0.0000 0.0000 0.5000  2 As 2.46
K 0.5000 0.5000 0.5000  12 P 3.48
As 0.0000 0.0000 0.0000  6 P 2.46

Entry 3:
A plane-wave DFT calculation with GGA-PBE was carried out for a geometry-optimized CaC3Cl structure.

Space-group type: Pm-3m
Energy above the most stable polymorph in this dataset (meV per atom): 0
Calculated volume (Å³ per cell): 67.19
Final energy (eV/cell): -18.02

abc: 4.0653 4.0653 4.0653
angles: 90.00 90.00 90.00
Last column: nearest neighbours and their distance in Å.
Fractional positions:
C 0.0000 0.5000 0.0000  2 Cl 2.03
C 0.0000 0.0000 0.5000  2 Cl 2.03
C 0.5000 0.0000 0.0000  2 Cl 2.03
Cl 0.0000 0.0000 0.0000  6 C 2.03
Ca 0.5000 0.5000 0.5000  12 C 2.87

Entry 4:
A plane-wave DFT calculation with GGA-PBE was carried out for a geometry-optimized RuSIN2 structure.

Space-group type: P4/mmm
Energy above the most stable polymorph in this dataset (meV per atom): 1257
Calculated volume (Å³ per cell): 90.86
Final energy (eV/cell): -20.42

abc: 3.8566 3.8566 6.1093
angles: 90.00 90.00 90.00
Last column: nearest neighbours and their distance in Å.
Fractional positions:
S 0.0000 0.0000 0.5000  4 Ru 2.73
N 0.5000 0.0000 0.0000  2 I 1.93
N 0.0000 0.5000 0.0000  2 I 1.93
Ru 0.5000 0.5000 0.5000  4 S 2.73
I 0.0000 0.0000 0.0000  4 N 1.93

Entry 5:
A plane-wave DFT calculation with GGA-PBE was carried out for a geometry-optimized Na2CdTeOs structure.

Space-group type: P4/mmm
Calculated volume (Å³ per cell): 163.39
Final energy (eV/cell): -13.36

abc: 5.5754 5.2563 5.5754
angles: 90.00 90.00 90.00
Last column: nearest neighbours and their distance in Å.
Fractional positions:
Te 0.5000 0.5000 0.5000  8 Na 3.83, 4 Cd 3.94
Os 0.0000 0.0000 0.0000  2 Cd 2.63, 4 Na 2.79
Na 0.5000 0.0000 0.0000  2 Os 2.79
Na 0.0000 0.0000 0.5000  2 Os 2.79
Cd 0.0000 0.5000 0.0000  2 Os 2.63

Entry 6:
A plane-wave DFT calculation with GGA-PBE was carried out for a geometry-optimized LaTa2S structure.

Space-group type: I-42d
Calculated volume (Å³ per cell): 178.95
Final energy (eV/cell): -64.63

abc: 3.9738 3.9738 11.6754
angles: 80.20 80.20 90.00
Last column: nearest neighbours and their distance in Å.
Fractional positions:
Ta 0.3750 0.8717 0.7500  4 Ta 2.79-2.83
Ta 0.1283 0.1250 0.2500  4 Ta 2.79-2.83
Ta 0.6217 0.6250 0.2500  4 Ta 2.79-2.83
Ta 0.8750 0.3783 0.7500  4 Ta 2.79-2.83
La 0.0000 0.0000 0.0000  4 S 2.81
La 0.7500 0.2500 0.5000  4 S 2.81
S 0.5000 0.5000 0.0000  4 La 2.81
S 0.2500 0.7500 0.5000  4 La 2.81